VASP calculation (PBE-GGA) on Ti5ZnPt4 after structural relaxation. Values from VASP.

Cell and atoms, written as Quantum ESPRESSO input:
```
&SYSTEM
  ibrav = 0, nat = 10, ntyp = 3
/
ATOMIC_SPECIES
Pt 195.08 Pt.upf
Ti 47.87 Ti.upf
Zn 65.41 Zn.upf
CELL_PARAMETERS angstrom
-0.267 2.440 1.424
-1.607 1.045 -2.092
-15.882 -6.857 8.773
ATOMIC_POSITIONS crystal
Pt 0.000 0.000 0.800
Pt 0.000 0.000 0.200
Pt 0.000 0.000 0.400
Pt 0.000 0.000 0.600
Ti 0.500 0.500 0.500
Ti 0.500 0.500 0.300
Ti 0.500 0.500 0.700
Ti 0.500 0.500 0.101
Ti 0.500 0.500 0.899
Zn 0.000 0.000 0.000
```

Computed properties:
Symmetry: P4/mmm
V (Å³/cell): 156
E_form (kJ per mole of atoms): -72.8